No. 1
VASP calculation (PBE) on a relaxed NaGeN crystal.

## Properties
* space group: P6_3mc, No. 186
* DOS at the Fermi energy: 0.0 states/eV per cell
* volume: 43.9 Å³/f.u.
* crystal system: hexagonal
* mass density: 4.15 g cm⁻³
* formation energy from raw total energies: -0.14 eV/atom

Cell: 3.1046 3.1046 10.5150 Å, 90.00 90.00 120.00°
Closest atoms and distances in Å follow each position.
Positions (direct):
Na 0.3333 0.6667 0.0000  3 N 2.49
Na 0.6667 0.3333 0.5000  3 N 2.49
Ge 0.0000 0.0000 0.2530  3 N 2.02
Ge 0.0000 0.0000 0.7530  3 N 2.02
N 0.3333 0.6667 0.6639  3 Ge 2.02
N 0.6667 0.3333 0.1639  3 Ge 2.02

---

No. 2
VASP calculation (PBE) on a relaxed B3OsI crystal.

## Properties
* space group: Pm-3m, No. 221
* DOS at the Fermi energy: 3.7 states/eV per cell
* volume: 78.7 Å³/f.u.
* excess energy over the best structure of this formula in the dataset: 1.9330 eV per atom
* crystal system: cubic
* mass density: 7.37 g cm⁻³
* formation energy from raw total energies: 3.24 eV/atom

Cell: 4.2862 4.2862 4.2862 Å, 90.00 90.00 90.00°
Closest atoms and distances in Å follow each position.
Positions (direct):
B 0.0000 0.0000 0.5000  2 I 2.14
B 0.0000 0.5000 0.0000  2 I 2.14
B 0.5000 0.0000 0.0000  2 I 2.14
Os 0.5000 0.5000 0.5000  12 B 3.03
I 0.0000 0.0000 0.0000  6 B 2.14

---

No. 3
VASP calculation (PBE) on a relaxed Pm2AlGa3Rh4 crystal.

## Properties
* uncorrected energy: -6.0035 eV per atom
* space group: P-4m2, No. 115
* DOS at the Fermi energy: 8.0 states/eV per cell
* volume: 185.7 Å³/f.u.
* crystal system: tetragonal
* mass density: 8.38 g cm⁻³

Cell: 4.2769 4.2769 10.1528 Å, 90.00 90.00 90.00°
Closest atoms and distances in Å follow each position.
Positions (direct):
Pm 0.0000 0.5000 0.2380  8 Rh 3.23-3.31, 6 Ga 3.23-3.41, 2 Al 3.41
Pm 0.5000 0.0000 0.7620  8 Rh 3.23-3.31, 6 Ga 3.23-3.41, 2 Al 3.41
Al 0.0000 0.0000 0.5000  4 Rh 2.51
Ga 0.0000 0.5000 0.8733  5 Rh 2.49-2.50
Ga 0.5000 0.0000 0.1267  5 Rh 2.49-2.50
Ga 0.5000 0.5000 0.5000  4 Rh 2.51
Rh 0.0000 0.0000 0.0000  4 Ga 2.50
Rh 0.0000 0.5000 0.6285  3 Ga 2.49-2.51, 2 Al 2.51
Rh 0.5000 0.0000 0.3715  3 Ga 2.49-2.51, 2 Al 2.51
Rh 0.5000 0.5000 0.0000  4 Ga 2.50

---

No. 4
VASP calculation (PBE) on a relaxed RbInPb2Cl8 crystal.

## Properties
* space group: P-1, No. 2
* DOS at the Fermi energy: 0.0 states/eV per cell
* volume: 393.2 Å³/f.u.
* crystal system: triclinic
* mass density: 3.79 g cm⁻³
* formation energy from raw total energies: -1.25 eV/atom

Cell: 6.5095 6.7606 8.9372 Å, 89.98 89.92 88.73°
Closest atoms and distances in Å follow each position.
Positions (direct):
Rb 0.0000 0.0000 0.0000  6 Cl 3.17-3.21
In 0.0000 0.0000 0.5000  6 Cl 2.55-2.61
Pb 0.4998 0.5001 0.2547  6 Cl 2.84-3.10
Pb 0.5002 0.4999 0.7453  6 Cl 2.84-3.10
Cl 0.2306 0.3116 0.5003  1 In 2.61
Cl 0.2307 0.8486 0.7028  1 In 2.55
Cl 0.2316 0.8496 0.2969  1 In 2.56
Cl 0.2723 0.3826 0.0002  2 Pb 2.84, 1 Rb 3.17
Cl 0.7277 0.6174 0.9998  2 Pb 2.84, 1 Rb 3.17
Cl 0.7684 0.1504 0.7031  1 In 2.56
Cl 0.7693 0.1514 0.2972  1 In 2.55
Cl 0.7694 0.6884 0.4997  1 In 2.61

---

No. 5
VASP calculation (PBE) on a relaxed MgBeZn2 crystal.

## Properties
* space group: F-43m, No. 216
* DOS at the Fermi energy: 6.1 states/eV per cell
* volume: 57.9 Å³/f.u.
* excess energy over the best structure of this formula in the dataset: 0.0948 eV per atom
* crystal system: cubic
* mass density: 4.71 g cm⁻³

Cell: 6.1421 6.1421 6.1421 Å, 90.00 90.00 90.00°
Closest atoms and distances in Å follow each position.
Positions (direct):
Mg 0.0000 0.0000 0.0000  4 Be 2.66, 4 Zn 2.66
Mg 0.0000 0.5000 0.5000  4 Be 2.66, 4 Zn 2.66
Mg 0.5000 0.0000 0.5000  4 Be 2.66, 4 Zn 2.66
Mg 0.5000 0.5000 0.0000  4 Be 2.66, 4 Zn 2.66
Be 0.2500 0.2500 0.7500  4 Zn 2.66, 4 Mg 2.66
Be 0.2500 0.7500 0.2500  4 Zn 2.66, 4 Mg 2.66
Be 0.7500 0.2500 0.2500  4 Zn 2.66, 4 Mg 2.66
Be 0.7500 0.7500 0.7500  4 Mg 2.66, 4 Zn 2.66
Zn 0.0000 0.0000 0.5000  4 Zn 2.66, 4 Be 2.66
Zn 0.0000 0.5000 0.0000  4 Zn 2.66, 4 Be 2.66
Zn 0.2500 0.2500 0.2500  4 Mg 2.66, 4 Zn 2.66
Zn 0.2500 0.7500 0.7500  4 Mg 2.66, 4 Zn 2.66
Zn 0.5000 0.0000 0.0000  4 Zn 2.66, 4 Be 2.66
Zn 0.5000 0.5000 0.5000  4 Zn 2.66, 4 Be 2.66
Zn 0.7500 0.2500 0.7500  4 Mg 2.66, 4 Zn 2.66
Zn 0.7500 0.7500 0.2500  4 Mg 2.66, 4 Zn 2.66

---

No. 6
VASP calculation (PBE) on a relaxed NpNi5Pt7 crystal.

## Properties
* uncorrected energy: -6.6970 eV per atom
* space group: Imm2, No. 44
* DOS at the Fermi energy: 23.9 states/eV per cell
* volume: 192.4 Å³/f.u.
* crystal system: orthorhombic
* mass density: 16.36 g cm⁻³

Cell: 6.6795 6.6795 6.6795 Å, 135.82 98.55 97.70°
Closest atoms and distances in Å follow each position.
Positions (direct):
Np 0.0000 0.0000 0.0000  10 Pt 2.96-3.18, 2 Ni 3.22
Ni 0.5026 0.9999 0.0058  3 Ni 2.49-2.53, 7 Pt 2.52-2.69
Ni 0.5026 0.4968 0.5027  3 Ni 2.49-2.53, 7 Pt 2.52-2.69
Ni 0.7711 0.2711 0.5000  4 Ni 2.49, 6 Pt 2.66-2.75
Ni 0.9941 0.9999 0.4973  3 Ni 2.49-2.53, 7 Pt 2.52-2.69
Ni 0.9941 0.4968 0.9942  3 Ni 2.49-2.53, 7 Pt 2.52-2.69
Pt 0.2011 0.4949 0.7062  5 Ni 2.52-2.66, 3 Pt 2.69-2.77
Pt 0.2222 0.7222 0.5000  4 Ni 2.56, 6 Pt 2.69-2.81
Pt 0.3424 0.0011 0.3413  5 Ni 2.62-2.75, 4 Pt 2.77-2.81
Pt 0.3447 0.3447 0.0000  4 Ni 2.68, 5 Pt 2.73-2.88
Pt 0.6598 0.0011 0.6587  5 Ni 2.62-2.75, 4 Pt 2.77-2.81
Pt 0.6637 0.6637 0.0000  6 Ni 2.60-2.68, 1 Pt 2.80
Pt 0.7888 0.4949 0.2938  5 Ni 2.52-2.66, 3 Pt 2.69-2.77